Entry 1:
16
Lattice="-1.808 0.751 -4.507 -1.855 -5.464 -0.167 -8.186 2.666 3.728" Properties=species:S:1:pos:R:3 comment="SCAN Ag3Au, PBEsol geometry" dft_energy_ry_per_atom=-3.004 dos_ef_per_ev_cell=4.6 formation_energy_ev_per_atom=-0.05 pbc="T T T"
Au -4.392 -0.704 -3.239
Au -8.829 -2.346 -0.003
Au -3.020 0.299 -0.943
Au -7.457 -1.343 2.293
Ag -6.528 1.380 2.386
Ag -10.704 -0.185 0.236
Ag -6.612 -1.518 -1.627
Ag -5.677 1.212 -1.531
Ag -1.586 -0.121 -3.394
Ag -3.954 -2.439 -1.037
Ag -7.895 0.392 0.091
Ag -10.263 -1.926 2.448
Ag -6.172 -3.259 0.585
Ag -5.237 -0.529 0.681
Ag -1.146 -1.862 -1.182
Ag -5.321 -3.427 -3.332

Entry 2:
9
Lattice="-0.131 3.047 -2.689 -3.459 -1.915 -5.076 -5.136 3.647 1.309" Properties=species:S:1:pos:R:3 comment="SCAN AgAu8, PBEsol geometry" dft_energy_ry_per_atom=-4.776 dos_ef_per_ev_cell=2.6 formation_energy_ev_per_atom=-0.03 pbc="T T T"
Au -4.578 1.797 -0.814
Au -4.017 -0.065 -2.952
Au -2.946 2.610 -3.047
Au -2.398 0.750 -5.182
Au -3.518 4.466 -0.916
Au -5.780 2.169 -3.408
Au -1.749 2.229 -0.463
Au -1.192 0.382 -2.583
Ag 0.000 0.000 0.000

Entry 3:
5
Lattice="2.872 0.000 0.000 1.436 2.487 0.000 1.436 0.829 11.713" Properties=species:S:1:pos:R:3 comment="SCAN Ag2Au3, PBEsol geometry" dft_energy_ry_per_atom=-3.976 dos_ef_per_ev_cell=1.3 formation_energy_ev_per_atom=-0.06 polymorph_energy_mev_per_atom=18 pbc="T T T"
Au 0.000 0.000 0.000
Au 1.436 0.829 4.660
Au 4.307 2.487 7.053
Ag 2.872 1.658 9.375
Ag 2.872 1.658 2.338

Entry 4:
9
Lattice="-3.868 1.070 0.257 -2.924 -1.702 -5.473 -3.281 -4.916 2.543" Properties=species:S:1:pos:R:3 comment="SCAN Ag4Au5, PBEsol geometry" dft_energy_ry_per_atom=-3.854 dos_ef_per_ev_cell=2.2 formation_energy_ev_per_atom=-0.07 polymorph_energy_mev_per_atom=0 pbc="T T T"
Au 0.000 0.000 0.000
Au -4.526 -0.418 -3.468
Au -2.385 -1.291 0.937
Au -4.764 -2.555 1.863
Au -2.266 -0.214 -1.748
Ag -4.649 -1.500 -0.809
Ag -5.424 -4.048 -1.864
Ag -3.162 -3.841 -0.137
Ag -3.044 -2.777 -2.793

Entry 5:
5
Lattice="2.860 0.000 0.000 1.430 4.767 -0.003 1.430 1.315 6.167" Properties=species:S:1:pos:R:3 comment="SCAN AgAu4, PBEsol geometry" dft_energy_ry_per_atom=-4.531 dos_ef_per_ev_cell=1.4 formation_energy_ev_per_atom=-0.04 polymorph_energy_mev_per_atom=6 pbc="T T T"
Au 2.860 4.347 2.462
Au 4.290 3.905 4.942
Au 1.430 2.177 1.223
Au 2.860 1.735 3.702
Ag 0.000 0.000 0.000

Entry 6:
29
Lattice="-6.638 -4.140 3.761 4.135 -5.433 -5.361 5.504 2.788 6.106" Properties=species:S:1:pos:R:3 comment="SCAN Ag5Au24, PBEsol geometry" dft_energy_ry_per_atom=-4.603 dos_ef_per_ev_cell=7.9 formation_energy_ev_per_atom=0.02 pbc="T T T"
Ag 0.997 -2.254 1.497
Ag 2.762 -3.628 -3.580
Ag 3.676 1.862 4.078
Ag -4.433 -2.765 2.512
Ag 0.000 0.000 0.000
Au 2.643 -5.225 1.749
Au -0.124 -2.134 6.946
Au 0.837 0.275 3.064
Au -1.490 -1.053 2.614
Au 0.576 -4.977 3.499
Au 6.517 -2.931 1.323
Au 2.642 -1.549 -0.884
Au 2.905 0.027 1.313
Au 2.906 -3.648 3.950
Au -0.968 -7.202 -0.123
Au -1.753 -2.630 0.414
Au 0.312 -2.878 -1.334
Au 0.471 -2.269 4.263
Au 2.657 -4.364 -0.864
Au -2.289 -1.698 5.167
Au 1.028 0.194 5.807
Au 3.782 -2.666 1.460
Au -1.863 -3.822 2.962
Au 5.548 -0.348 1.981
Au 5.174 -2.594 -1.152
Au 0.051 -4.795 0.739
Au 3.231 -0.916 3.947
Au 0.080 -5.500 -2.136
Au -2.863 -5.147 0.356

Entry 7:
4
Lattice="2.859 0.000 0.000 -1.429 2.476 0.000 0.000 0.000 9.429" Properties=species:S:1:pos:R:3 comment="SCAN Ag3Au, PBEsol geometry" dft_energy_ry_per_atom=-3.002 dos_ef_per_ev_cell=1.3 formation_energy_ev_per_atom=-0.03 pbc="T T T"
Au 0.000 0.000 4.715
Ag 0.000 1.651 2.338
Ag 0.000 1.651 7.091
Ag 0.000 0.000 0.000

Entry 8:
8
Lattice="-0.459 -4.493 -1.149 2.713 0.993 -4.967 5.722 -0.507 -0.301" Properties=species:S:1:pos:R:3 comment="SCAN Ag3Au, PBEsol geometry" dft_energy_ry_per_atom=-3.003 dos_ef_per_ev_cell=2.6 formation_energy_ev_per_atom=-0.05 pbc="T T T"
Au 6.001 -3.212 -4.013
Au 1.975 -0.795 -2.404
Ag 4.652 -3.710 -1.525
Ag 1.789 -3.456 -1.375
Ag 3.147 -2.959 -3.860
Ag 3.324 -0.297 -4.891
Ag 6.187 -0.551 -5.042
Ag 4.829 -1.048 -2.557

Entry 9:
5
Lattice="2.843 0.000 0.000 0.000 4.092 0.000 -1.421 -2.046 7.162" Properties=species:S:1:pos:R:3 comment="SCAN Ag3Au2, PBEsol geometry" dft_energy_ry_per_atom=-3.422 dos_ef_per_ev_cell=1.1 formation_energy_ev_per_atom=-0.08 polymorph_energy_mev_per_atom=0 pbc="T T T"
Au 1.421 2.046 1.441
Au 0.000 0.000 5.721
Ag 1.421 2.046 4.294
Ag 0.000 0.000 2.868
Ag 0.000 0.000 0.000

Entry 10:
4
Lattice="4.046 0.000 0.000 0.000 4.029 0.000 -2.023 -2.014 4.075" Properties=species:S:1:pos:R:3 comment="SCAN Ag3Au, PBEsol geometry" dft_energy_ry_per_atom=-3.005 dos_ef_per_ev_cell=0.8 formation_energy_ev_per_atom=-0.07 pbc="T T T"
Au 2.023 0.000 0.000
Ag 2.023 2.014 2.040
Ag 0.000 2.014 0.000
Ag 0.000 0.000 2.035

Entry 11:
4
Lattice="-0.343 2.854 -3.536 -3.875 2.292 -0.711 -0.149 4.500 0.709" Properties=species:S:1:pos:R:3 comment="SCAN Ag3Au, PBEsol geometry" dft_energy_ry_per_atom=-3.002 dos_ef_per_ev_cell=1.1 formation_energy_ev_per_atom=-0.03 pbc="T T T"
Au -2.183 4.823 -1.769
Ag -1.092 2.412 -0.885
Ag -3.275 7.235 -2.654
Ag 0.000 0.000 0.000

Entry 12:
6
Lattice="-3.482 -1.559 1.329 1.676 -0.622 3.661 -0.053 6.283 1.093" Properties=species:S:1:pos:R:3 comment="SCAN Ag5Au, PBEsol geometry" dft_energy_ry_per_atom=-2.771 dos_ef_per_ev_cell=1.8 formation_energy_ev_per_atom=-0.04 polymorph_energy_mev_per_atom=0 pbc="T T T"
Au -1.741 -0.780 0.665
Ag -1.501 0.746 3.081
Ag -2.935 2.886 1.835
Ag 0.838 -0.311 1.830
Ag -0.599 1.838 0.587
Ag -0.357 3.355 3.001

Which formula does entry 12 have?
Ag5Au